A plane-wave DFT calculation with PBE was carried out for a relaxed structure of Tb6ZnCu5.

abc: 4.957 6.989 7.833
angles: 90.00 108.45 90.00
Fractional coordinates of all 12 atoms:
Zn1 0.000 0.000 0.000
Tb1 0.832 0.748 0.663
Tb2 0.832 0.252 0.663
Tb3 0.500 0.255 0.000
Tb4 0.500 0.745 0.000
Tb5 0.168 0.748 0.337
Tb6 0.168 0.252 0.337
Cu1 0.666 0.500 0.333
Cu2 0.338 0.000 0.675
Cu3 0.000 0.500 0.000
Cu4 0.662 0.000 0.325
Cu5 0.334 0.500 0.667

Calculated values
* E: -4.384 eV/atom
* total moment: 0.0 Bohr magnetons per cell
* symmetry: Cmmm

A plane-wave DFT calculation with PBE was carried out for a relaxed structure of Tb6Zn2Cu.

abc: 4.927 6.992 8.526
angles: 114.21 106.67 90.00
Fractional coordinates of all 9 atoms:
Tb1 0.164 0.411 0.328
Tb2 0.836 0.083 0.672
Tb3 0.836 0.589 0.672
Tb4 0.500 0.244 0.000
Tb5 0.164 0.917 0.328
Tb6 0.500 0.756 0.000
Zn1 0.667 0.667 0.333
Zn2 0.333 0.333 0.667
Cu1 0.000 0.000 0.000

Calculated values
* E: -3.786 eV/atom
* total moment: 0.0 Bohr magnetons per cell
* symmetry: C2/m

A plane-wave DFT calculation with PBE was carried out for a relaxed structure of Tb3ZnCu2.

abc: 3.511 3.511 10.577
angles: 90.00 90.00 90.00
Fractional coordinates of all 6 atoms:
Tb1 0.000 0.000 0.000
Tb2 0.000 0.000 0.672
Tb3 0.000 0.000 0.328
Zn1 0.500 0.500 0.500
Cu1 0.500 0.500 0.833
Cu2 0.500 0.500 0.167

Calculated values
* distance to the lowest polymorph of the same formula: 0 meV/atom
* total moment: 0.0 Bohr magnetons per cell
* symmetry: P4/mmm

A plane-wave DFT calculation with PBE was carried out for a relaxed structure of Tb2Zn5Cu4.

abc: 5.258 5.094 8.528
angles: 80.85 72.05 58.93
Fractional coordinates of all 11 atoms:
Tb1 0.869 0.000 0.262
Tb2 0.131 0.000 0.738
Zn1 0.500 0.000 0.000
Zn2 0.000 0.500 0.000
Zn3 0.500 0.500 0.000
Zn4 0.250 0.500 0.500
Zn5 0.750 0.500 0.500
Cu1 0.475 0.311 0.740
Cu2 0.525 0.689 0.260
Cu3 0.214 0.311 0.260
Cu4 0.786 0.689 0.740

Calculated values
* E: -3.166 eV/atom
* total moment: 0.0 Bohr magnetons per cell
* symmetry: Fmmm

A plane-wave DFT calculation with PBE was carried out for a relaxed structure of Tb3Zn4Cu4.

abc: 4.056 7.146 8.042
angles: 116.38 104.61 90.00
Fractional coordinates of all 11 atoms:
Tb1 0.127 0.127 0.253
Tb2 0.873 0.873 0.747
Tb3 0.000 0.500 0.000
Zn1 0.329 0.139 0.659
Zn2 0.671 0.481 0.341
Zn3 0.671 0.861 0.341
Zn4 0.329 0.519 0.659
Cu1 0.219 0.719 0.438
Cu2 0.781 0.281 0.562
Cu3 0.500 0.819 0.000
Cu4 0.500 0.181 0.000

Calculated values
* distance to the lowest polymorph of the same formula: 2 meV/atom
* total moment: 0.0 Bohr magnetons per cell
* symmetry: Immm

A plane-wave DFT calculation with PBE was carried out for a relaxed structure of Tb3ZnCu2.

abc: 4.971 4.971 12.207
angles: 90.00 90.00 120.00
Fractional coordinates of all 12 atoms:
Tb1 0.333 0.667 0.417
Tb2 0.667 0.333 0.079
Tb3 0.000 0.000 0.755
Tb4 0.000 0.000 0.245
Tb5 0.333 0.667 0.921
Tb6 0.667 0.333 0.583
Zn1 0.333 0.667 0.670
Zn2 0.667 0.333 0.330
Cu1 0.000 0.000 0.500
Cu2 0.333 0.667 0.173
Cu3 0.667 0.333 0.827
Cu4 0.000 0.000 0.000

Calculated values
* distance to the lowest polymorph of the same formula: 4 meV/atom
* total moment: 0.0 Bohr magnetons per cell
* symmetry: P-3m1